## a
The following is a DFT calculation (GGA-PBE) of crystalline HoEr4Mg at its relaxed geometry.

Unit cell a=10.420 b=6.054 c=11.707 alpha=90.00 beta=107.23 gamma=90.00
Space group C2/c (No. 15)
One atom of each set of equivalent atoms:
Ho: 0.250 0.250 0.000 [4 per cell]
Er: 0.082 0.247 0.500 [8 per cell]
Er: 0.167 0.418 0.250 [8 per cell]
Mg: 0.000 0.082 0.750 [4 per cell]

## b
The following is a DFT calculation (GGA-PBE) of crystalline HoEr4Mg at its relaxed geometry.

Unit cell a=3.515 b=3.515 c=14.316 alpha=90.00 beta=90.00 gamma=90.00
Space group P4/mmm (No. 123)
One atom of each set of equivalent atoms:
Ho: 0.000 0.000 0.000 [1 per cell]
Er: 0.000 0.000 0.344 [2 per cell]
Er: 0.500 0.500 0.174 [2 per cell]
Mg: 0.500 0.500 0.500 [1 per cell]

Preferred: b; penalty for the next structure: 0.039 eV/atom.

## a
The following is a DFT calculation (GGA-PBE) of crystalline Ho2Er7Mg2 at its relaxed geometry.

Unit cell a=5.984 b=6.017 c=9.158 alpha=89.91 beta=83.95 gamma=80.45
Space group P-1 (No. 2)
One atom of each set of equivalent atoms:
Ho: 0.221 0.044 0.094 [2 per cell]
Er: 0.046 0.413 0.818 [2 per cell]
Er: 0.139 0.225 0.455 [2 per cell]
Er: 0.321 0.862 0.727 [2 per cell]
Er: 0.500 0.500 0.000 [1 per cell]
Mg: 0.406 0.678 0.368 [2 per cell]

## b
The following is a DFT calculation (GGA-PBE) of crystalline Ho2Er7Mg2 at its relaxed geometry.

Unit cell a=11.726 b=11.037 c=5.586 alpha=90.00 beta=111.99 gamma=90.00
Space group C2/m (No. 12)
One atom of each set of equivalent atoms:
Ho: 0.000 0.221 0.000 [4 per cell]
Er: 0.000 0.000 0.500 [2 per cell]
Er: 0.190 0.207 0.684 [8 per cell]
Er: 0.220 0.000 0.168 [4 per cell]
Mg: 0.061 0.500 0.286 [4 per cell]

Preferred: a; penalty for the next structure: 0.144 eV/atom.

## a
The following is a DFT calculation (GGA-PBE) of crystalline Ho3Er4Mg at its relaxed geometry.

Unit cell a=25.297 b=3.360 c=5.809 alpha=90.00 beta=95.67 gamma=90.00
Space group C2/m (No. 12)
One atom of each set of equivalent atoms:
Ho: 0.000 0.000 0.000 [2 per cell]
Ho: 0.150 0.000 0.217 [4 per cell]
Er: 0.102 0.000 0.697 [4 per cell]
Er: 0.218 0.500 0.738 [4 per cell]
Mg: 0.000 0.500 0.500 [2 per cell]

## b
The following is a DFT calculation (GGA-PBE) of crystalline Ho3Er4Mg at its relaxed geometry.

Unit cell a=26.795 b=3.526 c=5.293 alpha=90.00 beta=92.29 gamma=90.00
Space group C2/m (No. 12)
One atom of each set of equivalent atoms:
Ho: 0.000 0.000 0.000 [2 per cell]
Ho: 0.150 0.000 0.721 [4 per cell]
Er: 0.098 0.500 0.204 [4 per cell]
Er: 0.219 0.500 0.244 [4 per cell]
Mg: 0.000 0.500 0.500 [2 per cell]

Preferred: b; penalty for the next structure: 0.043 eV/atom.

## a
The following is a DFT calculation (GGA-PBE) of crystalline HoErMg4 at its relaxed geometry.

Unit cell a=13.720 b=3.424 c=6.761 alpha=90.00 beta=104.23 gamma=90.00
Space group C2/m (No. 12)
One atom of each set of equivalent atoms:
Ho: 0.000 0.000 0.000 [2 per cell]
Er: 0.000 0.000 0.500 [2 per cell]
Mg: 0.174 0.500 0.338 [4 per cell]
Mg: 0.175 0.500 0.837 [4 per cell]

## b
The following is a DFT calculation (GGA-PBE) of crystalline HoErMg4 at its relaxed geometry.

Unit cell a=8.501 b=8.501 c=8.501 alpha=90.00 beta=90.00 gamma=90.00
Space group F-43m (No. 216)
One atom of each set of equivalent atoms:
Ho: 0.000 0.000 0.000 [4 per cell]
Er: 0.250 0.250 0.250 [4 per cell]
Mg: 0.125 0.125 0.625 [16 per cell]

Preferred: b; penalty for the next structure: 0.020 eV/atom.

## a
The following is a DFT calculation (GGA-PBE) of crystalline Ho3ErMg at its relaxed geometry.

Unit cell a=14.917 b=12.759 c=6.440 alpha=90.00 beta=104.30 gamma=90.00
Space group C2/c (No. 15)
One atom of each set of equivalent atoms:
Ho: 0.096 0.191 0.459 [8 per cell]
Ho: 0.194 0.315 0.141 [8 per cell]
Ho: 0.206 0.425 0.649 [8 per cell]
Er: 0.101 0.075 0.947 [8 per cell]
Mg: 0.000 0.331 0.750 [4 per cell]
Mg: 0.000 0.427 0.250 [4 per cell]

## b
The following is a DFT calculation (GGA-PBE) of crystalline Ho3ErMg at its relaxed geometry.

Unit cell a=14.403 b=3.547 c=11.683 alpha=90.00 beta=99.32 gamma=90.00
Space group C2/m (No. 12)
One atom of each set of equivalent atoms:
Ho: 0.149 0.000 0.451 [4 per cell]
Ho: 0.149 0.500 0.964 [4 per cell]
Ho: 0.245 0.000 0.749 [4 per cell]
Er: 0.045 0.000 0.161 [4 per cell]
Mg: 0.049 0.500 0.644 [4 per cell]

Preferred: b; penalty for the next structure: 0.035 eV/atom.

## a
The following is a DFT calculation (GGA-PBE) of crystalline Ho7Er2Mg2 at its relaxed geometry.

Unit cell a=11.798 b=10.999 c=5.620 alpha=90.00 beta=112.33 gamma=90.00
Space group C2/m (No. 12)
One atom of each set of equivalent atoms:
Ho: 0.000 0.000 0.000 [2 per cell]
Ho: 0.191 0.206 0.185 [8 per cell]
Ho: 0.220 0.000 0.672 [4 per cell]
Er: 0.000 0.220 0.500 [4 per cell]
Mg: 0.056 0.500 0.786 [4 per cell]

## b
The following is a DFT calculation (GGA-PBE) of crystalline Ho7Er2Mg2 at its relaxed geometry.

Unit cell a=6.489 b=6.516 c=8.462 alpha=68.64 beta=77.31 gamma=83.98
Space group P-1 (No. 2)
One atom of each set of equivalent atoms:
Ho: 0.000 0.000 0.000 [1 per cell]
Ho: 0.042 0.433 0.198 [2 per cell]
Ho: 0.286 0.332 0.533 [2 per cell]
Ho: 0.463 0.299 0.909 [2 per cell]
Er: 0.208 0.901 0.382 [2 per cell]
Mg: 0.370 0.826 0.741 [2 per cell]

Preferred: b; penalty for the next structure: 0.168 eV/atom.